Entry from Alexandria: DyTaPd after structural relaxation (GGA-PBE).

Calculated values
Energy of formation from the pure elements   -0.17 eV per atom
Energy   -7.3838 eV per atom
Magnetic moment   0.000 μB/f.u.

Cell: 4.685 3.317 11.159 Å, 90.00 90.00 134.93°
Positions (direct):
Pd1 0.694 0.389 0.000
Ta1 0.194 0.389 0.862
Ta2 0.194 0.389 0.138
Dy1 0.694 0.389 0.332
Pd2 0.194 0.389 0.500
Dy2 0.694 0.389 0.668